CeY2ThP4: relaxed, PBE.

Output
Formation enthalpy at 0 K   -1.589 eV/atom

POSCAR file:
```
CeY2ThP4
1.0
4.078 0.000 0.000
0.000 7.026 -0.126
0.000 2.485 6.607
Y P Ce Th
2 4 1 1
Cartesian
2.039 1.242 3.303
0.000 2.485 6.607
2.039 5.920 1.537
2.039 3.591 4.943
0.000 7.161 4.858
4.078 2.349 1.623
2.039 3.513 -0.063
0.000 4.755 3.240
```

---

Ce2Y3ThP6: relaxed, PBE.

Output
Formation enthalpy at 0 K   -1.584 eV/atom

POSCAR file:
```
Ce2Y3ThP6
1.0
-4.772 -3.288 4.013
6.406 -2.808 -0.879
1.633 5.339 4.254
Y Ce Th P
3 2 1 6
Cartesian
-2.095 -0.539 5.325
1.633 -0.379 3.694
5.360 -0.219 2.063
2.680 -2.968 0.752
-1.047 -3.128 2.383
0.000 0.000 0.000
2.698 -0.101 1.051
0.568 -0.657 6.337
4.311 -0.496 4.699
1.639 -3.215 3.431
1.626 2.457 3.958
-1.046 -0.262 2.689
```

---

CeThZr2P4: relaxed, PBE.

Output
Formation enthalpy at 0 K   -1.454 eV/atom

POSCAR file:
```
CeThZr2P4
1.0
3.918 0.000 0.000
0.000 6.802 -0.140
0.000 2.387 6.361
Ce Zr Th P
1 2 1 4
Cartesian
1.959 3.401 -0.070
0.000 2.387 6.361
1.959 1.194 3.181
0.000 4.594 3.111
1.959 5.830 1.420
0.000 7.022 4.631
3.918 2.167 1.590
1.959 3.359 4.801
```

---

CeTh3Zr2P6: relaxed, PBE.

Output
Formation enthalpy at 0 K   -1.458 eV/atom

POSCAR file:
```
CeTh3Zr2P6
1.0
6.935 -0.010 -0.003
-3.474 6.002 -0.003
-1.156 -2.002 6.520
P Th Zr Ce
6 3 2 1
Cartesian
0.033 0.057 5.033
3.494 1.932 4.995
2.377 -0.003 1.520
-1.190 2.058 1.520
2.271 3.932 1.482
-0.073 3.992 4.995
-2.346 4.015 3.258
1.152 1.995 3.258
4.650 -0.026 3.258
-0.028 4.011 -0.003
3.488 1.981 -0.003
0.000 0.000 0.000
```

---

CeTiP: relaxed, PBE.

Output
Formation enthalpy at 0 K   -0.980 eV/atom

POSCAR file:
```
CeTiP
1.0
-0.144 -3.590 1.547
3.005 0.889 2.342
-6.402 3.884 3.472
Ce Ti P
2 2 2
Cartesian
-0.315 -0.461 3.846
-3.226 1.644 3.515
-0.072 -1.795 0.774
1.502 0.445 1.171
-2.411 0.607 6.131
-1.129 0.575 1.231
```

---

Ce2TiP: relaxed, PBE.

Output
Formation enthalpy at 0 K   -0.117 eV/atom

POSCAR file:
```
Ce2TiP
1.0
-1.100 2.815 1.864
-3.464 0.479 0.615
-0.817 -3.742 8.552
Ce P Ti
2 1 1
Cartesian
-4.354 1.846 4.789
-1.028 -2.295 6.242
-2.691 -0.224 5.516
0.000 0.000 0.000
```

---

| no. | density of states at the Fermi level (states/eV/atom) |
| --- | --- |
| 1 | 0.80 |
| 2 | 0.89 |
| 3 | 0.72 |
| 4 | 0.63 |
| 5 | 2.21 |
| 6 | 1.93 |